(1)
Density functional theory data (PBE) for a geometry-optimized KSnHg3Te4 structure.

```
18
Lattice="-0.2091 5.6432 -1.8694 -7.3274 1.1929 4.4204 7.0504 1.4620 11.2923" Properties=species:S:1:pos:R:3 pbc="T T T"
Hg 0.5418 5.4506 3.6492
Te -5.5071 4.9114 6.1809
Te -1.8450 5.8202 8.0373
Te 4.7514 7.0786 10.1878
Hg -1.0279 2.8475 10.1941
K 2.5811 6.0858 6.8583
Sn -0.2250 2.1511 3.2686
Te -2.0634 4.3507 4.1033
Hg 2.8520 3.4999 12.2911
K -3.0672 2.2123 6.9850
Hg -3.3381 4.7983 1.5522
Hg 0.2702 4.2108 -0.6246
Hg -0.7563 4.0873 14.4679
Te 5.0210 3.3868 7.6625
Te 1.5773 3.9474 9.7400
Te 1.3589 2.4779 5.8060
Sn -0.2611 6.1470 10.5747
Te -5.2375 1.2195 3.6555
```

**Calculated volume**: 37.62 Å³ per atom
**Excess energy over the best structure of this formula in the dataset**: 0 meV per atom
**E_tot**: -2.27 eV/atom

***

(2)
Density functional theory data (PBE) for a geometry-optimized TbZrAsO structure.

```
8
Lattice="-1.6007 1.0597 3.6692 -5.1480 -5.5807 -0.6341 3.2169 -3.2330 2.3371" Properties=species:S:1:pos:R:3 pbc="T T T"
Tb -2.1970 -7.2913 3.4841
O 1.3769 -3.4175 3.9244
Tb -0.1219 -1.6816 2.7692
As -0.1218 -6.4386 1.8064
As -0.5969 -3.5935 0.7774
Zr 1.7506 -4.4092 2.0371
O -3.6953 -5.5558 2.3292
Zr -2.4690 -5.6233 0.5470
```

**Calculated volume**: 20.21 Å³ per atom
**Excess energy over the best structure of this formula in the dataset**: 210 meV per atom
**E_tot**: -7.45 eV/atom
**Magnetization**: 0.01 μB per cell

***

(3)
Density functional theory data (PBE) for a geometry-optimized Zn2SnBrN4 structure.

```
8
Lattice="-2.4381 2.4381 4.8476 2.4381 -2.4381 4.8476 2.4381 2.4381 -4.8476" Properties=species:S:1:pos:R:3 pbc="T T T"
N -1.0335 1.0785 3.5381
N 1.0785 1.0335 6.1571
Zn 0.0000 0.0000 4.8476
Sn 2.4381 0.0000 2.4238
Br 0.0000 0.0000 0.0000
N 3.4716 1.3596 -1.3095
Zn 0.0000 2.4381 2.4238
N 1.3596 1.4047 1.3095
```

**Calculated volume**: 14.41 Å³ per atom
**E_tot**: -4.35 eV/atom

***

(4)
Density functional theory data (PBE) for a geometry-optimized RbCdPb structure.

```
3
Lattice="0.0000 3.8946 3.8946 3.8946 0.0000 3.8946 3.8946 3.8946 0.0000" Properties=species:S:1:pos:R:3 pbc="T T T"
Cd 0.0000 0.0000 0.0000
Pb 1.9473 1.9473 1.9473
Rb 5.8419 5.8419 5.8419
```

**Calculated volume**: 39.38 Å³ per atom
**Excess energy over the best structure of this formula in the dataset**: 0 meV per atom
**E_tot**: -1.74 eV/atom

***

(5)
Density functional theory data (PBE) for a geometry-optimized SmNpSb structure.

```
3
Lattice="2.7579 -2.2852 3.7831 3.4579 2.7706 2.7398 -0.9581 1.1618 4.9872" Properties=species:S:1:pos:R:3 pbc="T T T"
Np 1.3144 0.4118 2.8775
Sb 3.9433 1.2353 8.6326
Sm 0.0000 0.0000 0.0000
```

**Calculated volume**: 33.33 Å³ per atom
**E_tot**: -6.80 eV/atom
**Magnetization**: 6.59 μB per cell

***

(6)
Density functional theory data (PBE) for a geometry-optimized CsHfAgTe2Se structure.

```
12
Lattice="2.1028 -8.4809 0.0000 2.1028 8.4809 0.0000 0.0000 0.0000 10.7532" Properties=species:S:1:pos:R:3 pbc="T T T"
Te 2.1028 -2.0255 10.4272
Hf 0.0000 0.0000 5.3766
Se 2.1028 7.5588 2.6883
Hf 0.0000 0.0000 0.0000
Te 2.1028 2.0255 0.3259
Cs 2.1029 4.1843 8.0649
Ag 2.1028 -0.6713 8.0649
Cs 2.1029 -4.1843 2.6883
Te 2.1028 2.0255 5.0507
Te 2.1028 -2.0255 5.7025
Ag 2.1028 0.6713 2.6883
Se 2.1028 -7.5588 8.0649
```

**Calculated volume**: 31.96 Å³ per atom
**Excess energy over the best structure of this formula in the dataset**: 88 meV per atom
**E_tot**: -4.73 eV/atom
**Magnetization**: 0.01 μB per cell

***

(7)
Density functional theory data (PBE) for a geometry-optimized Zr4CoNiN2 structure.

```
8
Lattice="-0.4697 3.8305 4.3627 -1.6354 -2.1567 1.7175 5.9090 -3.4811 1.2554" Properties=species:S:1:pos:R:3 pbc="T T T"
Zr 0.2406 2.7152 3.6386
Co 1.0149 0.5956 1.7144
Zr 4.4162 -3.3769 2.9563
N 0.7562 0.9648 4.9231
Zr 1.7560 -1.7970 2.4071
N 3.8691 -1.7219 1.5220
Ni 3.5899 -1.3799 4.6771
Zr 2.8432 1.0843 4.0689
```

**Calculated volume**: 15.70 Å³ per atom
**Excess energy over the best structure of this formula in the dataset**: 158 meV per atom
**E_tot**: -8.61 eV/atom
**Magnetization**: 0.00 μB per cell

***

(8)
Density functional theory data (PBE) for a geometry-optimized SrFeSi2 structure.

```
4
Lattice="-2.1973 -0.8820 3.9607 -4.2226 1.7131 0.7269 -3.6573 -2.8137 0.0325" Properties=species:S:1:pos:R:3 pbc="T T T"
Sr -5.0386 -0.9913 2.3601
Fe -2.5193 -0.4957 1.1800
Si 0.0000 0.0000 0.0000
Si -7.5579 -1.4870 3.5401
```

**Calculated volume**: 17.37 Å³ per atom
**E_tot**: -4.64 eV/atom
**Magnetization**: 2.11 μB per cell

***

(9)
Density functional theory data (PBE) for a geometry-optimized GaBiIr2S6 structure.

```
20
Lattice="10.5527 0.0000 0.0000 0.0000 3.7063 0.0000 -5.1519 0.0000 10.4152" Properties=species:S:1:pos:R:3 pbc="T T T"
S 1.6842 2.7797 8.0836
S 4.4341 0.9266 9.2865
S 1.7873 2.7797 4.0787
Bi -3.4186 0.9266 9.1103
S 3.7167 0.9266 2.3316
S -0.9971 0.9266 3.0641
S -0.9115 2.7797 9.6978
S 6.3979 2.7797 7.3511
Ga 4.8592 0.9266 4.4137
S 6.0895 2.7797 3.6951
S 3.6136 0.9266 6.3365
Ir 4.0402 2.7797 7.7930
S 6.3123 0.9266 0.7175
S -0.6887 0.9266 6.7201
Bi 8.8194 2.7797 1.3049
Ir 1.3606 0.9266 2.6222
S 0.9668 2.7797 1.1287
Ga 0.5416 2.7797 6.0015
Ir 0.4100 0.9266 8.8772
Ir 4.9909 2.7797 1.5380
```

**Calculated volume**: 20.37 Å³ per atom
**E_tot**: -5.40 eV/atom
**Magnetization**: 0.00 μB per cell

***

(10)
Density functional theory data (PBE) for a geometry-optimized Ga3Ir structure.

```
8
Lattice="1.7317 -4.5360 0.0000 1.7317 4.5360 0.0000 0.0000 0.0000 8.3813" Properties=species:S:1:pos:R:3 pbc="T T T"
Ga 1.7317 4.0462 2.0953
Ga 1.7317 -1.2537 8.0563
Ir 1.7317 -2.4621 2.0953
Ir 1.7317 2.4621 6.2860
Ga 1.7317 1.2537 3.8656
Ga 1.7317 -4.0462 6.2860
Ga 1.7317 -1.2537 4.5157
Ga 1.7317 1.2537 0.3251
```

**Calculated volume**: 16.46 Å³ per atom
**E_tot**: -4.86 eV/atom
**Magnetization**: 0.03 μB per cell

***

(11)
Density functional theory data (PBE) for a geometry-optimized YScNi2Sb2 structure.

```
24
Lattice="-3.0908 -3.9752 -7.2568 3.9417 -1.8597 -0.6601 -1.9478 -7.8458 10.4730" Properties=species:S:1:pos:R:3 pbc="T T T"
Ni -1.6760 -3.5341 -0.0516
Y -0.7825 -5.1384 -4.9147
Ni -3.3589 -8.3027 3.3335
Sb -0.1234 -5.6432 0.4433
Y -4.5983 -10.5821 2.3549
Ni -1.2921 -7.7816 -0.5108
Y 0.7548 -3.1702 -1.2798
Sb -0.4538 -1.2781 0.8908
Sb -0.3317 -8.5641 7.4282
Sc -0.9756 -8.0490 2.1322
Ni -1.8840 -6.4421 6.8991
Ni 1.9705 -0.9311 -0.3284
Ni -3.2164 -5.5126 -3.6754
Ni 0.2150 -5.8448 3.0320
Sc -1.3174 -3.7054 2.5723
Sb -3.6916 -8.0644 0.6762
Sb -1.8202 -10.4506 3.8548
Sb -2.1931 -6.1469 4.2220
Sc -2.8533 -5.6736 -1.0543
Y 0.5620 -6.0773 5.7589
Sc -3.0521 -8.5910 5.9782
Ni -1.5040 -10.7083 6.4688
Sb -1.9833 -3.2194 -2.7731
Sb -1.6613 -7.6114 -3.1951
```

**Calculated volume**: 20.25 Å³ per atom
**E_tot**: -6.26 eV/atom
**Magnetization**: 0.00 μB per cell

***

(12)
Density functional theory data (PBE) for a geometry-optimized Pr2Ho2CI2Cl3 structure.

```
10
Lattice="9.3384 -1.9585 0.0000 9.3384 1.9585 0.0000 -1.5789 0.0000 8.0495" Properties=species:S:1:pos:R:3 pbc="T T T"
Pr -1.2273 0.0000 6.3200
I 15.0915 0.0000 1.4949
C 9.3384 0.0000 0.0000
Ho 5.4225 0.0000 7.5200
Cl 8.5490 0.0000 4.0248
Pr 18.3252 0.0000 1.7296
I 2.0064 0.0000 6.5547
Cl 14.6542 0.0000 5.6358
Ho 11.6755 0.0000 0.5296
Cl 2.4437 0.0000 2.4138
```

**Calculated volume**: 29.44 Å³ per atom
**Excess energy over the best structure of this formula in the dataset**: 0 meV per atom
**E_tot**: -5.10 eV/atom
**Magnetization**: 0.01 μB per cell

***

(13)
Density functional theory data (PBE) for a geometry-optimized CuH2 structure.

```
6
Lattice="-2.2476 0.3438 -0.7777 0.8230 -2.5157 -3.4906 0.9439 -3.8343 2.9860" Properties=species:S:1:pos:R:3 pbc="T T T"
H -0.1484 -1.8879 -0.4196
Cu 0.0000 0.0000 0.0000
H 0.2125 -3.4657 1.5443
Cu 0.8835 -3.1750 -0.2523
H -0.6932 -2.5405 -2.8266
H -0.3323 -4.1183 -0.8628
```

**Calculated volume**: 7.60 Å³ per atom
**E_tot**: -3.20 eV/atom

***

(14)
Density functional theory data (PBE) for a geometry-optimized PmTlNO structure.

```
8
Lattice="-0.6729 0.8961 -3.7873 -5.6043 -2.4311 0.4205 -2.4378 5.9375 1.8380" Properties=species:S:1:pos:R:3 pbc="T T T"
Pm -6.3669 -0.9079 -1.1431
N -3.8009 2.9664 1.3772
O -7.2833 3.5130 0.0657
Tl -3.6263 0.7354 0.8183
Tl -1.6529 3.9694 1.2329
O -2.6822 0.3470 -1.5008
N -5.8240 -0.1467 1.0000
Pm -5.1243 4.1061 -0.1775
```

**Calculated volume**: 20.18 Å³ per atom
**Excess energy over the best structure of this formula in the dataset**: 51 meV per atom
**E_tot**: -6.12 eV/atom
**Magnetization**: 0.00 μB per cell

***

(15)
Density functional theory data (PBE) for a geometry-optimized Sm2CuNiGe4 structure.

```
8
Lattice="4.2332 0.0000 0.0000 0.0000 2.1061 8.4938 0.0000 -2.1061 8.4938" Properties=species:S:1:pos:R:3 pbc="T T T"
Cu 0.0000 0.0000 5.5182
Ni 2.1166 0.0000 11.5666
Sm 0.0000 0.0000 1.7615
Ge 0.0000 0.0000 12.6819
Ge 0.0000 0.0000 7.8667
Ge 2.1166 0.0000 4.1911
Ge 2.1166 0.0000 9.2347
Sm 2.1166 0.0000 15.1295
```

**Calculated volume**: 18.93 Å³ per atom
**E_tot**: -5.31 eV/atom
**Magnetization**: 0.00 μB per cell

***

(16)
Density functional theory data (PBE) for a geometry-optimized HoTm2Zn3AgIr2 structure.

```
9
Lattice="-1.0072 2.5494 2.5980 6.7798 -0.0301 2.6579 -1.8346 4.6614 -5.2854" Properties=species:S:1:pos:R:3 pbc="T T T"
Tm -1.0756 2.7330 -3.0989
Ir 0.5264 4.3807 -1.3496
Ir 3.4180 2.8059 1.3167
Zn -0.5346 5.9262 -3.2774
Tm 3.9750 -0.0176 1.5583
Ho 2.0478 1.9178 -1.0880
Ag 4.9387 4.6253 -2.6241
Zn 5.7855 2.4842 2.5503
Zn 3.1270 4.6749 -0.6300
```

**Calculated volume**: 19.24 Å³ per atom
**Energy of formation from the pure elements**: -611.7 meV/atom
**E_tot**: -4.82 eV/atom
**Magnetization**: 0.02 μB per cell

***

(17)
Density functional theory data (PBE) for a geometry-optimized Te4MoW structure.

```
6
Lattice="-1.8288 1.1078 7.4025 0.6751 -4.3084 -6.3522 5.7258 -1.5248 1.6427" Properties=species:S:1:pos:R:3 pbc="T T T"
Te 4.1776 -4.6666 -3.5964
W 2.2681 -2.3579 1.3413
Te 0.6640 -2.5064 -0.8728
Te 0.0572 -1.1936 2.4611
Te 2.2796 -0.5609 6.8303
Mo 5.7172 -1.5225 1.6402
```

**Calculated volume**: 27.36 Å³ per atom
**E_tot**: -6.24 eV/atom
**Magnetization**: 0.00 μB per cell

***

(18)
Density functional theory data (PBE) for a geometry-optimized LaDyCuSi3 structure.

```
12
Lattice="-4.1359 -6.9768 1.1396 -5.4132 -3.0132 5.2348 -5.3767 0.2799 -2.2641" Properties=species:S:1:pos:R:3 pbc="T T T"
La -11.1943 -7.2826 3.0827
Cu -8.8630 -8.3012 4.9539
Si -6.7681 -3.1450 0.6168
Si -8.8158 -2.9211 1.8070
Si -6.1100 -6.7889 2.3033
Si -9.5070 -4.6225 3.2381
Si -8.1576 -6.5651 3.4936
La -3.7314 -2.4275 1.0276
Cu -6.0628 -1.4089 -0.8436
Dy -8.4574 -5.7487 0.5124
Si -5.4188 -5.0876 0.8722
Dy -6.4684 -3.9614 3.5979
```

**Calculated volume**: 19.96 Å³ per atom
**Excess energy over the best structure of this formula in the dataset**: 13 meV per atom
**E_tot**: -5.64 eV/atom
**Magnetization**: 0.00 μB per cell

***

(19)
Density functional theory data (PBE) for a geometry-optimized HgAu2I3Br structure.

```
7
Lattice="4.5030 -4.3901 0.0000 4.5030 4.3901 0.0000 -0.0394 0.0000 6.3686" Properties=species:S:1:pos:R:3 pbc="T T T"
I 2.4333 0.0000 5.0096
Au 2.1652 1.9668 3.1219
Br 6.7454 0.0000 4.7549
Hg 8.8686 0.0000 6.3405
I 4.4927 2.0011 1.5628
I 4.4927 -2.0011 1.5628
Au 2.1652 -1.9668 3.1219
```

**Calculated volume**: 35.97 Å³ per atom
**E_tot**: -1.99 eV/atom

***

(20)
Density functional theory data (PBE) for a geometry-optimized TaPb2F8 structure.

```
11
Lattice="-2.5671 2.5671 5.7079 2.5671 -2.5671 5.7079 2.5671 2.5671 -5.7079" Properties=species:S:1:pos:R:3 pbc="T T T"
F 1.6593 0.8603 6.2850
Ta 0.0000 0.0000 0.0000
F 0.9078 1.7068 0.5771
F 4.0270 0.5607 1.7113
F 3.4274 0.9078 -0.5771
Pb 0.0000 0.0000 7.5980
F 2.0064 1.4599 3.9966
F 1.1072 -0.5607 1.7113
F 3.1278 -1.4599 3.9966
Pb 0.0000 0.0000 3.8179
F -0.8603 1.6593 5.1308
```

**Calculated volume**: 13.68 Å³ per atom
**E_tot**: -5.65 eV/atom
**Magnetization**: 1.00 μB per cell